Record 1
The following is a PBE calculation of a geometry-optimized Ac6HgPb5 structure, from Alexandria.

Unit cell a=5.548 b=16.745 c=9.126 alpha=90.00 beta=90.00 gamma=90.00
Space group Cmmm (No. 65)
Asymmetric unit:
Ac1 0.000 0.000 0.248 (multiplicity 4)
Ac2 0.000 0.333 0.244 (multiplicity 8)
Hg1 0.000 0.500 0.000 (multiplicity 2)
Pb1 0.000 0.161 0.000 (multiplicity 4)
Pb2 0.000 0.170 0.500 (multiplicity 4)
Pb3 0.000 0.500 0.500 (multiplicity 2)

Calculated values
Crystal system: orthorhombic
Total energy: -98.66 eV for the cell shown
Energy above the most stable polymorph in this dataset: 0.00 eV/f.u.


Record 2
The following is a PBE calculation of a geometry-optimized Ba4Li structure, from Alexandria.

Unit cell a=6.734 b=6.734 c=6.734 alpha=90.00 beta=90.00 gamma=90.00
Space group Pm-3m (No. 221)
Asymmetric unit:
Ba1 0.000 0.000 0.000 (multiplicity 1)
Ba2 0.000 0.500 0.500 (multiplicity 3)
Li1 0.500 0.500 0.500 (multiplicity 1)

Calculated values
Crystal system: cubic
Total energy: -8.83 eV for the cell shown
Energy above the most stable polymorph in this dataset: 0.63 eV/f.u.


Record 3
The following is a PBE calculation of a geometry-optimized CdAg3C2O6 structure, from Alexandria.

Unit cell a=5.1928 b=5.1928 c=7.4118 alpha=90.00 beta=90.00 gamma=120.00
Space group P-3m1 (No. 164)
Asymmetric unit:
Cd1 0.0000 0.0000 0.0000 (multiplicity 1)
Ag1 0.0000 0.0000 0.5000 (multiplicity 1)
Ag2 0.3333 0.6667 0.1862 (multiplicity 2)
C1 0.3333 0.6667 0.7457 (multiplicity 2)
O1 0.1886 0.3771 0.7481 (multiplicity 6)

Calculated values
Crystal system: trigonal
Total energy: -65.95 eV for the cell shown
Energy relative to the elements, uncorrected: -0.69 eV/atom


Record 4
The following is a PBE calculation of a geometry-optimized K2O2F structure, from Alexandria.

Unit cell a=7.054 b=7.054 c=3.473 alpha=90.00 beta=90.00 gamma=90.00
Space group P4/mbm (No. 127)
Asymmetric unit:
K1 0.217 0.283 0.000 (multiplicity 4)
O1 0.068 0.568 0.500 (multiplicity 4)
F1 0.000 0.000 0.500 (multiplicity 2)

Calculated values
Crystal system: tetragonal
Total energy: -42.80 eV for the cell shown
Energy relative to the elements, uncorrected: -1.48 eV/atom


Record 5
The following is a PBE calculation of a geometry-optimized Ce6Hg5Os structure, from Alexandria.

Unit cell a=16.848 b=7.322 c=5.372 alpha=90.00 beta=108.53 gamma=90.00
Space group C2/m (No. 12)
Asymmetric unit:
Ce1 0.000 0.200 0.000 (multiplicity 4)
Ce2 0.149 0.221 0.650 (multiplicity 8)
Hg1 0.000 0.500 0.500 (multiplicity 2)
Hg2 0.163 0.500 0.163 (multiplicity 4)
Hg3 0.196 0.000 0.196 (multiplicity 4)
Os1 0.000 0.000 0.500 (multiplicity 2)

Calculated values
Crystal system: monoclinic
Total energy: -103.68 eV for the cell shown


Record 6
The following is a PBE calculation of a geometry-optimized BeTe8 structure, from Alexandria.

Unit cell a=8.882 b=8.882 c=8.509 alpha=90.00 beta=90.00 gamma=90.00
Space group I4/mmm (No. 139)
Asymmetric unit:
Be1 0.000 0.000 0.000 (multiplicity 2)
Te1 0.000 0.282 0.000 (multiplicity 8)
Te2 0.172 0.172 0.500 (multiplicity 8)

Calculated values
Crystal system: tetragonal
Total energy: -53.67 eV for the cell shown
Energy relative to the elements, uncorrected: 0.22 eV/atom


Record 7
The following is a PBE calculation of a geometry-optimized HfHg2Pb structure, from Alexandria.

Unit cell a=3.272 b=3.272 c=9.124 alpha=90.00 beta=90.00 gamma=90.00
Space group P4/mmm (No. 123)
Asymmetric unit:
Hf1 0.000 0.000 0.000 (multiplicity 1)
Hg1 0.500 0.500 0.217 (multiplicity 2)
Pb1 0.000 0.000 0.500 (multiplicity 1)

Calculated values
Crystal system: tetragonal
Total energy: -14.03 eV for the cell shown


Record 8
The following is a PBE calculation of a geometry-optimized BaNi2Sb structure, from Alexandria.

Unit cell a=3.476 b=3.476 c=7.098 alpha=90.00 beta=90.00 gamma=90.00
Space group P4/mmm (No. 123)
Asymmetric unit:
Ba1 0.000 0.000 0.000 (multiplicity 1)
Ni1 0.500 0.500 0.327 (multiplicity 2)
Sb1 0.000 0.000 0.500 (multiplicity 1)

Calculated values
Crystal system: tetragonal
Total energy: -17.26 eV for the cell shown
Energy relative to the elements, uncorrected: 0.09 eV/atom